This record from Alexandria describes a geometry-optimized NaHRh2 structure. The functional is PBE.

CIF file:
```
data_NaHRh2
_chemical_formula_sum 'Na1 H1 Rh2'
_symmetry_space_group_name_H-M 'P 1'
_symmetry_Int_Tables_number 1
_cell_length_a 4.1955
_cell_length_b 4.1955
_cell_length_c 4.1955
_cell_angle_alpha 60.00
_cell_angle_beta 60.00
_cell_angle_gamma 60.00
loop_
_symmetry_equiv_pos_as_xyz
'x,y,z'
loop_
_atom_site_label
_atom_site_type_symbol
_atom_site_fract_x
_atom_site_fract_y
_atom_site_fract_z
Na1 Na 0.5000 0.5000 0.5000
Rh1 Rh 0.7500 0.7500 0.7500
H1 H 0.0000 0.0000 0.0000
Rh2 Rh 0.2500 0.2500 0.2500
```

Results
relative energy among the computed polymorphs	789	meV/atom
final energy	-0.14075	Ha/atom



This record from Alexandria describes a geometry-optimized Na5H12Rh2 structure. The functional is PBE.

CIF file:
```
data_Na5H12Rh2
_chemical_formula_sum 'Na5 H12 Rh2'
_symmetry_space_group_name_H-M 'P 1'
_symmetry_Int_Tables_number 1
_cell_length_a 7.4389
_cell_length_b 5.8610
_cell_length_c 9.6515
_cell_angle_alpha 109.21
_cell_angle_beta 127.07
_cell_angle_gamma 48.34
loop_
_symmetry_equiv_pos_as_xyz
'x,y,z'
loop_
_atom_site_label
_atom_site_type_symbol
_atom_site_fract_x
_atom_site_fract_y
_atom_site_fract_z
Na1 Na 0.7208 0.3447 0.3974
H1 H 0.7220 0.2699 0.8143
H2 H 0.2038 0.8740 0.8836
H3 H 0.8614 0.9658 0.6135
Na2 Na 0.2792 0.6553 0.6026
H4 H 0.2780 0.7301 0.1857
H5 H 0.1142 0.1616 0.6971
H6 H 0.0487 0.3419 0.9312
Rh1 Rh 0.9194 0.2044 0.7525
Rh2 Rh 0.0806 0.7956 0.2475
H7 H 0.7962 0.1260 0.1164
H8 H 0.8858 0.8384 0.3029
H9 H 0.1386 0.0342 0.3865
Na3 Na 0.9224 0.7700 0.8436
Na4 Na 0.5000 0.0000 0.0000
H10 H 0.9513 0.6581 0.0688
Na5 Na 0.0776 0.2300 0.1564
H11 H 0.6799 0.5726 0.6682
H12 H 0.3201 0.4274 0.3318
```

Results
final energy	-0.12620	Ha/atom